[1]
A relaxed structure of Y6Tm2In3. Source: Alexandria via LeMat-Bulk, functional PBE.

Values from the calculation:
SG: No. 139
uncorrected energy: -5.07 eV per atom
ΔH_f (0 K): 0.016 eV per atom
crystal system: tetragonal

a b c (Å): 4.5320 4.5320 17.0106
angles (deg): 97.66 97.66 90.00
Fractional coordinates of all 11 atoms:
In (0.0000, 0.0000, 0.0000)
In (0.8069, 0.8069, 0.6138)
In (0.1931, 0.1931, 0.3862)
Y (0.2868, 0.2868, 0.5735)
Y (0.8735, 0.3735, 0.7469)
Y (0.3735, 0.8735, 0.7469)
Y (0.1265, 0.6265, 0.2531)
Y (0.7132, 0.7132, 0.4265)
Y (0.6265, 0.1265, 0.2531)
Tm (0.4552, 0.4552, 0.9104)
Tm (0.5448, 0.5448, 0.0896)

[2]
A relaxed structure of Th3VPt12. Source: Alexandria via LeMat-Bulk, functional PBE.

Values from the calculation:
SG: No. 123
uncorrected energy: -7.40 eV per atom
ΔH_f (0 K): -0.904 eV per atom
crystal system: tetragonal

a b c (Å): 4.1787 4.1787 16.5384
angles (deg): 90.00 90.00 90.00
Fractional coordinates of all 16 atoms:
Pt (0.5000, 0.5000, 0.7586)
Pt (0.0000, 0.5000, 0.1110)
Pt (0.5000, 0.5000, 0.0000)
Pt (0.5000, 0.0000, 0.8890)
Pt (0.5000, 0.0000, 0.6293)
Pt (0.5000, 0.5000, 0.2414)
Pt (0.0000, 0.5000, 0.6293)
Pt (0.0000, 0.5000, 0.3707)
Pt (0.5000, 0.5000, 0.5000)
Pt (0.5000, 0.0000, 0.3707)
Pt (0.0000, 0.5000, 0.8890)
Pt (0.5000, 0.0000, 0.1110)
V (0.0000, 0.0000, 0.0000)
Th (0.0000, 0.0000, 0.2394)
Th (0.0000, 0.0000, 0.7606)
Th (0.0000, 0.0000, 0.5000)

[3]
A relaxed structure of SrDyPb2. Source: Alexandria via LeMat-Bulk, functional PBE.

Values from the calculation:
SG: No. 166
uncorrected energy: -3.77 eV per atom
ΔH_f (0 K): -0.349 eV per atom
crystal system: trigonal

a b c (Å): 3.9402 3.9402 10.1396
angles (deg): 78.80 78.80 60.00
Fractional coordinates of all 4 atoms:
Dy (0.0000, 0.0000, 0.0000)
Sr (0.5000, 0.5000, 0.5000)
Pb (0.7458, 0.7458, 0.7625)
Pb (0.2542, 0.2542, 0.2375)

[4]
A relaxed structure of ZnMoBr2. Source: Alexandria via LeMat-Bulk, functional PBE.

Values from the calculation:
SG: No. 12
uncorrected energy: -3.26 eV per atom
crystal system: monoclinic

a b c (Å): 5.5475 5.5475 3.5917
angles (deg): 71.50 71.50 100.74
Fractional coordinates of all 4 atoms:
Zn (0.0000, 0.5000, 0.5000)
Br (0.0000, 0.0000, 0.0000)
Br (0.5000, 0.5000, 0.0000)
Mo (0.5000, 0.0000, 0.5000)

What did the first record say?
A relaxed structure of Y6Tm2In3. Source: Alexandria via LeMat-Bulk, functional PBE.

Values from the calculation:
SG: No. 139
uncorrected energy: -5.07 eV per atom
ΔH_f (0 K): 0.016 eV per atom
crystal system: tetragonal

a b c (Å): 4.5320 4.5320 17.0106
angles (deg): 97.66 97.66 90.00
Fractional coordinates of all 11 atoms:
In (0.0000, 0.0000, 0.0000)
In (0.8069, 0.8069, 0.6138)
In (0.1931, 0.1931, 0.3862)
Y (0.2868, 0.2868, 0.5735)
Y (0.8735, 0.3735, 0.7469)
Y (0.3735, 0.8735, 0.7469)
Y (0.1265, 0.6265, 0.2531)
Y (0.7132, 0.7132, 0.4265)
Y (0.6265, 0.1265, 0.2531)
Tm (0.4552, 0.4552, 0.9104)
Tm (0.5448, 0.5448, 0.0896)

Q: What is the uncorrected energy in the first record?
A: -5.07 eV per atom